# GGA-PBE Ba2CrTc, optimized geometry
data_Ba2CrTc
_space_group_name_H-M_alt 'I m m 2'
_space_group_IT_number 44
_space_group_name_Hall 'I 2 -2'
_cell_length_a 3.851
_cell_length_b 5.510
_cell_length_c 11.924
_cell_angle_alpha 90.00
_cell_angle_beta 90.00
_cell_angle_gamma 90.00
loop_
_atom_site_label
_atom_site_fract_x
_atom_site_fract_y
_atom_site_fract_z
_atom_site_occupancy
Ba1 0.000 0.000 0.000 1
Ba2 0.000 0.500 0.213 1
Cr1 0.000 0.000 0.401 1
Tc1 0.000 0.500 0.796 1
# electronic total energy = -5.313 eV per atom
# energy above the most stable polymorph in this dataset = 0.76 eV/f.u.
# formation energy from the elements = 0.65 eV per atom
# magnetic moment = 4.8 μB/cell
# crystal system = orthorhombic